Compound: BeZnRh
Source: Alexandria
Functional: GGA-PBE
Structure: relaxed

The structure in CIF format:
```
data_BeZnRh
_chemical_formula_sum 'Be2 Zn2 Rh2'
_cell_length_a 2.904
_cell_length_b 2.904
_cell_length_c 8.604
_cell_angle_alpha 90.00
_cell_angle_beta 90.00
_cell_angle_gamma 90.00
_space_group_name_H-M_alt 'P 4/n m m'
_space_group_IT_number 129
loop_
_space_group_symop_operation_xyz
'x,y,z'
'-x,-y,-z'
'-y+1/2,x,z'
'y+1/2,-x,-z'
'-x+1/2,-y+1/2,z'
'x+1/2,y+1/2,-z'
'y,-x+1/2,z'
'-y,x+1/2,-z'
'x+1/2,-y,-z'
'-x+1/2,y,z'
'-y,-x,-z'
'y,x,z'
'-x,y+1/2,-z'
'x,-y+1/2,z'
'y+1/2,x+1/2,-z'
'-y+1/2,-x+1/2,z'
loop_
_atom_site_label
_atom_site_type_symbol
_atom_site_fract_x
_atom_site_fract_y
_atom_site_fract_z
Be1 Be 0.250 0.250 0.070
Zn1 Zn 0.250 0.250 0.396
Rh1 Rh 0.250 0.250 0.796
```

Calculated values
Total DFT energy (no corrections)   -27.29 eV per cell
ΔE_f   -1.29 eV/f.u.
Fermi-level density of states   2.24 states/eV/cell
ΔE to the lowest computed polymorph   0.039 eV/atom

Compound: PuMn2Zn
Source: Alexandria
Functional: GGA-PBE
Structure: relaxed

The structure in CIF format:
```
data_PuMn2Zn
_chemical_formula_sum 'Pu1 Mn2 Zn1'
_cell_length_a 3.080
_cell_length_b 3.080
_cell_length_c 6.915
_cell_angle_alpha 90.00
_cell_angle_beta 90.00
_cell_angle_gamma 90.00
_space_group_name_H-M_alt 'P 4/m m m'
_space_group_IT_number 123
_space_group_name_Hall '-P 4 2'
loop_
_atom_site_label
_atom_site_type_symbol
_atom_site_fract_x
_atom_site_fract_y
_atom_site_fract_z
Pu1 Pu 0.000 0.000 0.000
Mn1 Mn 0.500 0.500 0.287
Zn1 Zn 0.000 0.000 0.500
```

Calculated values
Total DFT energy (no corrections)   -33.58 eV per cell
ΔE_f   0.37 eV/f.u.
Fermi-level density of states   4.43 states/eV/cell

Compound: GaFeOs2
Source: Alexandria
Functional: GGA-PBE
Structure: relaxed

The structure in CIF format:
```
data_GaFeOs2
_chemical_formula_sum 'Ga4 Fe4 Os8'
_cell_length_a 5.663
_cell_length_b 5.663
_cell_length_c 9.712
_cell_angle_alpha 90.00
_cell_angle_beta 90.00
_cell_angle_gamma 90.00
_space_group_name_H-M_alt 'I -4 2 d'
_space_group_IT_number 122
_space_group_name_Hall 'I -4 2bw'
loop_
_atom_site_label
_atom_site_type_symbol
_atom_site_fract_x
_atom_site_fract_y
_atom_site_fract_z
Ga1 Ga 0.000 0.000 0.000
Fe1 Fe 0.000 0.000 0.500
Os1 Os 0.216 0.250 0.625
```

Calculated values
Total DFT energy (no corrections)   -114.56 eV per cell
ΔE_f   5.31 eV/f.u.
Fermi-level density of states   16.03 states/eV/cell

Compound: Sr2MnOs
Source: Alexandria
Functional: GGA-PBE
Structure: relaxed

The structure in CIF format:
```
data_Sr2MnOs
_chemical_formula_sum 'Sr2 Mn1 Os1'
_cell_length_a 3.642
_cell_length_b 3.642
_cell_length_c 8.092
_cell_angle_alpha 90.00
_cell_angle_beta 90.00
_cell_angle_gamma 90.00
_space_group_name_H-M_alt 'P 4/m m m'
_space_group_IT_number 123
_space_group_name_Hall '-P 4 2'
loop_
_atom_site_label
_atom_site_type_symbol
_atom_site_fract_x
_atom_site_fract_y
_atom_site_fract_z
Sr1 Sr 0.000 0.000 0.217
Mn1 Mn 0.500 0.500 0.500
Os1 Os 0.500 0.500 0.000
```

Calculated values
Total DFT energy (no corrections)   -20.16 eV per cell
ΔE_f   3.60 eV/f.u.
Fermi-level density of states   5.21 states/eV/cell
ΔE to the lowest computed polymorph   0.664 eV/atom

Compound: La2HfVN5
Source: Alexandria
Functional: GGA-PBE
Structure: relaxed

The structure in CIF format:
```
data_La2HfVN5
_chemical_formula_sum 'La8 Hf4 V4 N20'
_cell_length_a 3.398
_cell_length_b 14.297
_cell_length_c 10.709
_cell_angle_alpha 90.00
_cell_angle_beta 90.00
_cell_angle_gamma 90.00
_space_group_name_H-M_alt 'C m c 21'
_space_group_IT_number 36
_space_group_name_Hall 'C 2c -2'
loop_
_atom_site_label
_atom_site_type_symbol
_atom_site_fract_x
_atom_site_fract_y
_atom_site_fract_z
La1 La 0.000 0.114 0.000
La2 La 0.000 0.137 0.655
Hf1 Hf 0.000 0.203 0.361
V1 V 0.000 0.450 0.759
N1 N 0.000 0.036 0.336
N2 N 0.000 0.292 0.988
N3 N 0.000 0.327 0.717
N4 N 0.000 0.345 0.336
N5 N 0.000 0.495 0.114
```

Calculated values
Total DFT energy (no corrections)   -332.03 eV per cell
Raw formation energy   -1383.6 meV per atom

Compound: K2MgGaBr5
Source: Alexandria
Functional: GGA-PBE
Structure: relaxed

The structure in CIF format:
```
data_K2MgGaBr5
_chemical_formula_sum 'K8 Mg4 Ga4 Br20'
_cell_length_a 4.249
_cell_length_b 18.891
_cell_length_c 15.316
_cell_angle_alpha 90.00
_cell_angle_beta 90.00
_cell_angle_gamma 90.00
_space_group_name_H-M_alt 'C m c 21'
_space_group_IT_number 36
_space_group_name_Hall 'C 2c -2'
loop_
_atom_site_label
_atom_site_type_symbol
_atom_site_fract_x
_atom_site_fract_y
_atom_site_fract_z
K1 K 0.000 0.076 0.000
K2 K 0.000 0.138 0.655
Mg1 Mg 0.000 0.233 0.391
Ga1 Ga 0.000 0.447 0.806
Br1 Br 0.000 0.097 0.433
Br2 Br 0.000 0.249 0.011
Br3 Br 0.000 0.293 0.774
Br4 Br 0.000 0.367 0.345
Br5 Br 0.000 0.497 0.124
```

Calculated values
Total DFT energy (no corrections)   -109.25 eV per cell
Fermi-level density of states   0.00 states/eV/cell
Raw formation energy   -1348.0 meV per atom

Compound: Dy3Tm3Sc5
Source: Alexandria
Functional: GGA-PBE
Structure: relaxed

The structure in CIF format:
```
data_Dy3Tm3Sc5
_chemical_formula_sum 'Dy3 Tm3 Sc5'
_cell_length_a 9.0369
_cell_length_b 9.0369
_cell_length_c 5.3208
_cell_angle_alpha 90.00
_cell_angle_beta 90.00
_cell_angle_gamma 120.00
_space_group_name_H-M_alt 'P -6 2 m'
_space_group_IT_number 189
_space_group_name_Hall 'P -6 -2'
loop_
_atom_site_label
_atom_site_type_symbol
_atom_site_fract_x
_atom_site_fract_y
_atom_site_fract_z
Dy1 Dy 0.0000 0.3795 0.0000
Tm1 Tm 0.0000 0.5971 0.5000
Sc1 Sc 0.0000 0.7579 0.0000
Sc2 Sc 0.3333 0.6667 0.0000
```

Calculated values
Total DFT energy (no corrections)   -49.62 eV per cell
ΔE_f   9.26 eV/f.u.
Fermi-level density of states   16.72 states/eV/cell

Compound: Cs2GaPH
Source: Alexandria
Functional: GGA-PBE
Structure: relaxed

The structure in CIF format:
```
data_Cs2GaPH
_chemical_formula_sum 'Cs4 Ga2 P2 H2'
_cell_length_a 7.226
_cell_length_b 4.073
_cell_length_c 11.040
_cell_angle_alpha 90.00
_cell_angle_beta 103.05
_cell_angle_gamma 90.00
_space_group_name_H-M_alt 'P 1 21/m 1'
_space_group_IT_number 11
_space_group_name_Hall '-P 2yb'
loop_
_atom_site_label
_atom_site_type_symbol
_atom_site_fract_x
_atom_site_fract_y
_atom_site_fract_z
Cs1 Cs 0.205 0.250 0.417
Cs2 Cs 0.271 0.750 0.068
Ga1 Ga 0.303 0.750 0.717
P1 P 0.178 0.250 0.783
H1 H 0.459 0.250 0.242
```

Calculated values
Total DFT energy (no corrections)   -29.28 eV per cell
Fermi-level density of states   4.06 states/eV/cell

Compound: LiCuH6Ir
Source: Alexandria
Functional: GGA-PBE
Structure: relaxed

The structure in CIF format:
```
data_LiCuH6Ir
_chemical_formula_sum 'Li2 Cu2 H12 Ir2'
_cell_length_a 4.5567
_cell_length_b 4.5567
_cell_length_c 8.7241
_cell_angle_alpha 90.00
_cell_angle_beta 90.00
_cell_angle_gamma 120.00
_space_group_name_H-M_alt 'P -3 1 c'
_space_group_IT_number 163
_space_group_name_Hall '-P 3 2c'
loop_
_atom_site_label
_atom_site_type_symbol
_atom_site_fract_x
_atom_site_fract_y
_atom_site_fract_z
Li1 Li 0.0000 0.0000 0.0000
Cu1 Cu 0.3333 0.6667 0.2500
H1 H 0.0214 0.4158 0.6273
Ir1 Ir 0.3333 0.6667 0.7500
```

Calculated values
Total DFT energy (no corrections)   -70.41 eV per cell
Fermi-level density of states   5.77 states/eV/cell

Compound: Li4Se
Source: Alexandria
Functional: GGA-PBE
Structure: relaxed

The structure in CIF format:
```
data_Li4Se
_chemical_formula_sum 'Li8 Se2'
_cell_length_a 6.919
_cell_length_b 6.919
_cell_length_c 3.694
_cell_angle_alpha 90.00
_cell_angle_beta 90.00
_cell_angle_gamma 90.00
_space_group_name_H-M_alt 'I 4/m'
_space_group_IT_number 87
_space_group_name_Hall '-I 4'
loop_
_atom_site_label
_atom_site_type_symbol
_atom_site_fract_x
_atom_site_fract_y
_atom_site_fract_z
Li1 Li 0.079 0.278 0.000
Se1 Se 0.000 0.000 0.500
```

Calculated values
Total DFT energy (no corrections)   -27.66 eV per cell
Fermi-level density of states   1.97 states/eV/cell
Raw formation energy   -537.9 meV per atom
ΔE to the lowest computed polymorph   0.000 eV/atom

Compound: MgFeMo2
Source: Alexandria
Functional: GGA-PBE
Structure: relaxed

The structure in CIF format:
```
data_MgFeMo2
_chemical_formula_sum 'Mg2 Fe2 Mo4'
_cell_length_a 3.194
_cell_length_b 4.366
_cell_length_c 8.851
_cell_angle_alpha 90.00
_cell_angle_beta 90.00
_cell_angle_gamma 90.00
_space_group_name_H-M_alt 'C m m 2'
_space_group_IT_number 35
_space_group_name_Hall 'C 2 -2'
loop_
_atom_site_label
_atom_site_type_symbol
_atom_site_fract_x
_atom_site_fract_y
_atom_site_fract_z
Mg1 Mg 0.000 0.000 0.000
Fe1 Fe 0.000 0.500 0.247
Mo1 Mo 0.000 0.000 0.472
Mo2 Mo 0.000 0.500 0.725
```

Calculated values
Total DFT energy (no corrections)   -61.97 eV per cell
ΔE_f   0.74 eV/f.u.
Fermi-level density of states   6.49 states/eV/cell

Compound: ZrCuIr2Pb
Source: Alexandria
Functional: GGA-PBE
Structure: relaxed

The structure in CIF format:
```
data_ZrCuIr2Pb
_chemical_formula_sum 'Zr1 Cu1 Ir2 Pb1'
_cell_length_a 4.632
_cell_length_b 4.632
_cell_length_c 4.706
_cell_angle_alpha 90.00
_cell_angle_beta 90.00
_cell_angle_gamma 90.00
_space_group_name_H-M_alt 'P 4/m m m'
_space_group_IT_number 123
_space_group_name_Hall '-P 4 2'
loop_
_atom_site_label
_atom_site_type_symbol
_atom_site_fract_x
_atom_site_fract_y
_atom_site_fract_z
Zr1 Zr 0.000 0.000 0.000
Cu1 Cu 0.000 0.000 0.500
Ir1 Ir 0.000 0.500 0.500
Pb1 Pb 0.500 0.500 0.000
```

Calculated values
Total DFT energy (no corrections)   -30.44 eV per cell
ΔE_f   3.63 eV/f.u.
Fermi-level density of states   5.03 states/eV/cell

Compound: ZrGe3Bi
Source: Alexandria
Functional: GGA-PBE
Structure: relaxed

The structure in CIF format:
```
data_ZrGe3Bi
_chemical_formula_sum 'Zr1 Ge3 Bi1'
_cell_length_a 5.227
_cell_length_b 5.227
_cell_length_c 5.227
_cell_angle_alpha 90.00
_cell_angle_beta 90.00
_cell_angle_gamma 90.00
_space_group_name_H-M_alt 'P m -3 m'
_space_group_IT_number 221
_space_group_name_Hall '-P 4 2 3'
loop_
_atom_site_label
_atom_site_type_symbol
_atom_site_fract_x
_atom_site_fract_y
_atom_site_fract_z
Zr1 Zr 0.000 0.000 0.000
Ge1 Ge 0.000 0.000 0.500
Bi1 Bi 0.500 0.500 0.500
```

Calculated values
Total DFT energy (no corrections)   -23.95 eV per cell
ΔE_f   2.33 eV/f.u.
Fermi-level density of states   3.05 states/eV/cell
ΔE to the lowest computed polymorph   0.000 eV/atom